(1)
The following is a PBE calculation of Er2Ni12P3Pt after structural relaxation, from Alexandria via LeMat-Bulk.

Summary:
Final energy: -5.619 eV/atom
Fermi-level density of states: 9.7 states/eV/cell
Symmetry: R-3m, No. 166
ΔE_f: -0.02 eV/atom
Size of the total moment: 0.00 μB/f.u.

a = 7.0419 Å, b = 7.0419 Å, c = 7.0419 Å
α = 65.51°, β = 65.51°, γ = 65.51°
Atoms (fractional coordinates):
Ni 0.8633 0.8633 0.3897
Ni 0.1367 0.1367 0.6103
Ni 0.8633 0.3897 0.8633
Ni 0.6552 0.1045 0.6552
Ni 0.3448 0.3448 0.8955
Ni 0.1367 0.6103 0.1367
Ni 0.8955 0.3448 0.3448
Ni 0.6103 0.1367 0.1367
Ni 0.6552 0.6552 0.1045
Ni 0.1045 0.6552 0.6552
Ni 0.3448 0.8955 0.3448
Ni 0.3897 0.8633 0.8633
P 0.0000 0.5000 0.0000
P 0.0000 0.0000 0.5000
P 0.5000 0.0000 0.0000
Er 0.6038 0.6038 0.6038
Er 0.3962 0.3962 0.3962
Pt 0.0000 0.0000 0.0000

***

(2)
The following is a PBE calculation of ErPuNi2P2 after structural relaxation, from Alexandria via LeMat-Bulk.

Summary:
Final energy: -7.945 eV/atom
Fermi-level density of states: 10.6 states/eV/cell
Symmetry: P-3m1, No. 164
ΔE_f: -1.07 eV/atom
Size of the total moment: 5.24 μB/f.u.

a = 3.8911 Å, b = 3.8911 Å, c = 7.7298 Å
α = 90.00°, β = 90.00°, γ = 120.00°
Last column: magnetic moment on the atom in μB.
Atoms (fractional coordinates):
P 0.3333 0.6667 0.2556  0.05
P 0.6667 0.3333 0.7444  0.05
Ni 0.6667 0.3333 0.2516  0.10
Ni 0.3333 0.6667 0.7484  0.10
Pu 0.0000 0.0000 0.0000  -5.09
Er 0.0000 0.0000 0.5000  -0.10

***

(3)
The following is a PBE calculation of Er2Ni3P4Rh after structural relaxation, from Alexandria via LeMat-Bulk.

Summary:
Final energy: -6.537 eV/atom
Fermi-level density of states: 4.6 states/eV/cell
Symmetry: P-4m2, No. 115
ΔE_f: -0.99 eV/atom
Size of the total moment: 0.00 μB/f.u.

a = 4.0009 Å, b = 4.0009 Å, c = 9.1606 Å
α = 90.00°, β = 90.00°, γ = 90.00°
Atoms (fractional coordinates):
P 0.5000 0.0000 0.6393
P 0.5000 0.5000 0.0000
P 0.0000 0.5000 0.3607
P 0.0000 0.0000 0.0000
Ni 0.5000 0.0000 0.8837
Ni 0.0000 0.0000 0.5000
Ni 0.0000 0.5000 0.1163
Rh 0.5000 0.5000 0.5000
Er 0.5000 0.0000 0.2410
Er 0.0000 0.5000 0.7590

***

(4)
The following is a PBE calculation of ErNiP2Rh2 after structural relaxation, from Alexandria via LeMat-Bulk.

Summary:
Final energy: -6.409 eV/atom
Fermi-level density of states: 3.8 states/eV/cell
Symmetry: P4/mmm, No. 123
ΔE_f: -0.43 eV/atom
Size of the total moment: 0.00 μB/f.u.

a = 4.2528 Å, b = 4.2528 Å, c = 5.4101 Å
α = 90.00°, β = 90.00°, γ = 90.00°
Atoms (fractional coordinates):
P 0.0000 0.5000 0.0000
P 0.5000 0.0000 0.0000
Rh 0.5000 0.5000 0.7505
Rh 0.5000 0.5000 0.2495
Er 0.0000 0.0000 0.5000
Ni 0.0000 0.0000 0.0000

***

Copy entry 1 word for word.
The following is a PBE calculation of Er2Ni12P3Pt after structural relaxation, from Alexandria via LeMat-Bulk.

Summary:
Final energy: -5.619 eV/atom
Fermi-level density of states: 9.7 states/eV/cell
Symmetry: R-3m, No. 166
ΔE_f: -0.02 eV/atom
Size of the total moment: 0.00 μB/f.u.

a = 7.0419 Å, b = 7.0419 Å, c = 7.0419 Å
α = 65.51°, β = 65.51°, γ = 65.51°
Atoms (fractional coordinates):
Ni 0.8633 0.8633 0.3897
Ni 0.1367 0.1367 0.6103
Ni 0.8633 0.3897 0.8633
Ni 0.6552 0.1045 0.6552
Ni 0.3448 0.3448 0.8955
Ni 0.1367 0.6103 0.1367
Ni 0.8955 0.3448 0.3448
Ni 0.6103 0.1367 0.1367
Ni 0.6552 0.6552 0.1045
Ni 0.1045 0.6552 0.6552
Ni 0.3448 0.8955 0.3448
Ni 0.3897 0.8633 0.8633
P 0.0000 0.5000 0.0000
P 0.0000 0.0000 0.5000
P 0.5000 0.0000 0.0000
Er 0.6038 0.6038 0.6038
Er 0.3962 0.3962 0.3962
Pt 0.0000 0.0000 0.0000